This record from the Alexandria database describes a relaxed Zn2BiF crystal. The functional is PBE.

Computed properties:
- size of the total moment (μB per cell) = 0.000
- D(E_F) (states/eV/cell) = 0.710
- formation energy from raw total energies (eV/atom) = -0.408

a = 4.7269 Å, b = 4.7269 Å, c = 4.7269 Å
α = 60.00°, β = 60.00°, γ = 60.00°
Fractional positions:
Zn: 0.2500 0.2500 0.2500
Zn: 0.7500 0.7500 0.7500
Bi: 0.5000 0.5000 0.5000
F: 0.0000 0.0000 0.0000



This record from the Alexandria database describes a relaxed BaSnO3 crystal. The functional is PBE.

Computed properties:
- size of the total moment (μB per cell) = 0.000
- D(E_F) (states/eV/cell) = 0.000
- formation energy from raw total energies (eV/atom) = -2.040

a = 21.9512 Å, b = 7.2801 Å, c = 8.1093 Å
α = 90.00°, β = 162.75°, γ = 90.00°
Fractional positions:
O: 0.7715 0.5450 0.2582
O: 0.9433 0.3503 0.4401
O: 0.8547 0.2683 0.8396
O: 0.7285 0.0450 0.2418
O: 0.4433 0.1497 0.9401
O: 0.3547 0.2317 0.3396
O: 0.1453 0.7317 0.1604
O: 0.5567 0.8503 0.0599
O: 0.0567 0.6497 0.5599
O: 0.2715 0.9550 0.7582
O: 0.2285 0.4550 0.7418
O: 0.6453 0.7683 0.6604
Ba: 0.0610 0.2559 0.0654
Ba: 0.4390 0.7559 0.4346
Ba: 0.9390 0.7441 0.9346
Ba: 0.5610 0.2441 0.5654
Sn: 0.9123 0.6342 0.4112
Sn: 0.0877 0.3658 0.5888
Sn: 0.5877 0.1342 0.0888
Sn: 0.4123 0.8658 0.9112



This record from the Alexandria database describes a relaxed Na8B11C5 crystal. The functional is PBE.

Computed properties:
- size of the total moment (μB per cell) = 0.000
- E_form (meV per atom) = 116
- D(E_F) (states/eV/cell) = 4.791

a = 17.4006 Å, b = 17.4007 Å, c = 17.4007 Å
α = 170.73°, β = 162.99°, γ = 19.41°
Fractional positions:
Na: 0.4997 0.4996 0.0001
Na: 0.3742 0.3737 0.0005
Na: 0.7533 0.7509 0.0024
Na: 0.9997 0.9996 0.0001
Na: 0.2518 0.2513 0.0005
Na: 0.6278 0.6258 0.0020
Na: 0.1233 0.1250 0.9983
Na: 0.8763 0.8741 0.0022
C: 0.2734 0.9365 0.3368
C: 0.4781 0.8126 0.6656
C: 0.7264 0.0626 0.6638
C: 0.0251 0.6883 0.3368
C: 0.9780 0.3126 0.6654
B: 0.1418 0.8125 0.3293
B: 0.8681 0.1883 0.6798
B: 0.5744 0.9367 0.6378
B: 0.5369 0.1883 0.3485
B: 0.8828 0.5625 0.3204
B: 0.6418 0.3125 0.3292
B: 0.7845 0.4368 0.3477
B: 0.3260 0.6883 0.6376
B: 0.4253 0.0625 0.3628
B: 0.2150 0.5623 0.6527
B: 0.1165 0.4367 0.6798



> Look up the size of the total moment of the third one.

0.000 μB per cell



> Which value of size of the total moment does entry 3 give?

0.000 μB per cell



> Look up the size of the total moment of the second one.

0.000 μB per cell



> Number 3 is which compound?

Na8B11C5